Record 1
Computed, not measured: a relaxed structure of V3Ir7 at the PBE level of DFT.

Values from the calculation:
VASP energy = -9.40 eV per atom

a = 3.8390 Å, b = 5.4173 Å, c = 7.2205 Å
α = 102.00°, β = 105.42°, γ = 90.00°
Last column: nearest neighbours and their distance in Å.
Positions (direct):
Ir  0.0000  0.5000  0.0000  4 V 2.66-2.71, 8 Ir 2.70-2.73
Ir  0.2027  0.1121  0.4054  5 V 2.65-2.76, 7 Ir 2.69-2.75
Ir  0.7973  0.8879  0.5946  5 V 2.65-2.76, 7 Ir 2.69-2.75
Ir  0.4002  0.1991  0.8004  4 V 2.66-2.72, 8 Ir 2.69-2.75
Ir  0.6020  0.3047  0.2040  5 V 2.68-2.76, 7 Ir 2.69-2.74
Ir  0.5998  0.8009  0.1996  4 V 2.66-2.72, 8 Ir 2.69-2.75
Ir  0.3980  0.6953  0.7960  5 V 2.68-2.76, 7 Ir 2.69-2.74
V  0.8046  0.3884  0.6091  10 Ir 2.65-2.76, 2 V 2.87
V  0.0000  0.0000  0.0000  12 Ir 2.71-2.76
V  0.1954  0.6116  0.3909  10 Ir 2.65-2.76, 2 V 2.87


Record 2
Computed, not measured: a relaxed structure of CaAc2GePd6 at the PBE level of DFT.

Values from the calculation:
VASP energy = -5.25 eV per atom

a = 6.5764 Å, b = 6.5764 Å, c = 13.1514 Å
α = 75.52°, β = 75.52°, γ = 60.00°
Last column: nearest neighbours and their distance in Å.
Positions (direct):
Ac  0.7131  0.7131  0.8606  9 Pd 3.21-3.38
Ac  0.8770  0.8770  0.3690  9 Pd 3.19-3.35
Ac  0.1230  0.1230  0.6310  9 Pd 3.19-3.35
Ac  0.2869  0.2869  0.1394  9 Pd 3.21-3.38
Pd  0.6658  0.6658  0.5891  1 Ge 2.49, 2 Pd 2.72
Pd  0.7804  0.3576  0.0816  1 Ge 2.42
Pd  0.9208  0.3342  0.4109  1 Ge 2.49, 2 Pd 2.72
Pd  0.7804  0.7804  0.0816  1 Ge 2.42
Pd  0.2196  0.2196  0.9184  1 Ge 2.42
Pd  0.3576  0.7804  0.0816  1 Ge 2.42
Pd  0.6658  0.0792  0.5891  1 Ge 2.49, 2 Pd 2.72
Pd  0.3342  0.9208  0.4109  1 Ge 2.49, 2 Pd 2.72
Pd  0.2196  0.6424  0.9184  1 Ge 2.42
Pd  0.3342  0.3342  0.4109  1 Ge 2.49, 2 Pd 2.72
Pd  0.6424  0.2196  0.9184  1 Ge 2.42
Pd  0.0792  0.6658  0.5891  1 Ge 2.49, 2 Pd 2.72
Ge  0.0000  0.0000  0.0000  6 Pd 2.42
Ge  0.5000  0.5000  0.5000  6 Pd 2.49
Ca  0.5780  0.5780  0.2661  6 Pd 2.82-2.88, 1 Ge 2.94
Ca  0.4220  0.4220  0.7339  6 Pd 2.82-2.88, 1 Ge 2.94


Record 3
Computed, not measured: a relaxed structure of Ba2MnTe at the PBE level of DFT.

Values from the calculation:
uncorrected formation energy = -32.0 kJ per mole of atoms
VASP energy = -4.37 eV per atom

a = 7.3006 Å, b = 7.3006 Å, c = 7.3006 Å
α = 145.87°, β = 137.70°, γ = 55.43°
Last column: nearest neighbours and their distance in Å.
Positions (direct):
Ba  0.7268  0.2268  0.5000  4 Te 3.55, 2 Ba 3.88
Ba  0.0069  0.0069  0.0000  4 Mn 3.45, 2 Te 3.69
Mn  0.4589  0.4589  0.0000  2 Te 2.90
Te  0.3075  0.8075  0.5000  2 Mn 2.90


Record 4
Computed, not measured: a relaxed structure of TaPt2Se at the PBE level of DFT.

Values from the calculation:
uncorrected formation energy = -12.9 kJ per mole of atoms
VASP energy = -6.99 eV per atom

a = 9.6786 Å, b = 9.6786 Å, c = 9.6786 Å
α = 17.19°, β = 17.19°, γ = 17.19°
Last column: nearest neighbours and their distance in Å.
Positions (direct):
Se  0.7500  0.7500  0.7500  6 Se 2.89, 6 Pt 3.04
Ta  0.2500  0.2500  0.2500  6 Pt 2.78, 6 Ta 2.89
Pt  0.9945  0.9945  0.9945  3 Ta 2.78, 6 Pt 2.89, 3 Se 3.04
Pt  0.5055  0.5055  0.5055  3 Ta 2.78, 6 Pt 2.89, 3 Se 3.04


Record 5
Computed, not measured: a relaxed structure of SmPuTcIr at the PBE level of DFT.

Values from the calculation:
VASP energy = -9.74 eV per atom

a = 4.8673 Å, b = 4.8673 Å, c = 4.8673 Å
α = 60.00°, β = 60.00°, γ = 60.00°
Last column: nearest neighbours and their distance in Å.
Positions (direct):
Sm  0.0000  0.0000  0.0000  4 Ir 2.98, 4 Tc 2.98
Tc  0.2500  0.2500  0.2500  4 Sm 2.98, 4 Pu 2.98
Pu  0.5000  0.5000  0.5000  4 Tc 2.98, 4 Ir 2.98
Ir  0.7500  0.7500  0.7500  4 Pu 2.98, 4 Sm 2.98


Record 6
Computed, not measured: a relaxed structure of MgCu2W at the PBE level of DFT.

Values from the calculation:
VASP energy = -5.02 eV per atom

a = 4.3520 Å, b = 4.3520 Å, c = 4.3520 Å
α = 60.00°, β = 60.00°, γ = 60.00°
Last column: nearest neighbours and their distance in Å.
Positions (direct):
Mg  0.5000  0.5000  0.5000  4 W 2.67, 4 Cu 2.67
W  0.7500  0.7500  0.7500  4 Cu 2.67, 4 Mg 2.67
Cu  0.2500  0.2500  0.2500  4 Mg 2.67, 4 Cu 2.67
Cu  0.0000  0.0000  0.0000  4 Cu 2.67, 4 W 2.67


Record 7
Computed, not measured: a relaxed structure of InCuRe2 at the PBE level of DFT.

Values from the calculation:
VASP energy = -7.33 eV per atom

a = 3.7712 Å, b = 3.7712 Å, c = 4.4502 Å
α = 90.00°, β = 90.00°, γ = 90.00°
Last column: nearest neighbours and their distance in Å.
Positions (direct):
Re  0.5000  0.5000  0.0000  4 Re 2.67, 4 In 2.92, 4 Cu 2.92
Re  0.0000  0.0000  0.0000  4 Re 2.67, 4 In 2.92, 4 Cu 2.92
In  0.0000  0.5000  0.5000  4 Cu 2.67, 8 Re 2.92
Cu  0.5000  0.0000  0.5000  4 In 2.67, 8 Re 2.92


Record 8
Computed, not measured: a relaxed structure of YCuOs2 at the PBE level of DFT.

Values from the calculation:
VASP energy = -8.08 eV per atom

a = 4.2890 Å, b = 2.9156 Å, c = 5.4433 Å
α = 77.59°, β = 90.00°, γ = 90.00°
Last column: nearest neighbours and their distance in Å.
Positions (direct):
Y  0.0000  0.4897  0.5381  2 Os 2.73-2.92, 4 Cu 2.82-2.84, 2 Y 2.92
Cu  0.5000  0.9112  0.7509  4 Os 2.62-2.71, 4 Y 2.82-2.84, 2 Cu 2.92
Os  0.0000  0.8568  0.0322  2 Cu 2.62, 6 Os 2.62-2.92, 2 Y 2.73-2.92
Os  0.5000  0.2422  0.1788  6 Os 2.62-2.92, 2 Cu 2.70-2.71


Record 9
Computed, not measured: a relaxed structure of Sc2NbV2 at the PBE level of DFT.

Values from the calculation:
VASP energy = -7.91 eV per atom

a = 6.3710 Å, b = 6.3710 Å, c = 4.6971 Å
α = 90.00°, β = 90.00°, γ = 90.00°
Last column: nearest neighbours and their distance in Å.
Positions (direct):
Sc  0.8289  0.3289  0.5000  6 V 2.92-3.07, 1 Sc 3.08
Sc  0.6711  0.8289  0.5000  6 V 2.92-3.07, 1 Sc 3.08
Sc  0.1711  0.6711  0.5000  6 V 2.92-3.07, 1 Sc 3.08
Sc  0.3289  0.1711  0.5000  6 V 2.92-3.07, 1 Sc 3.08
Nb  0.5000  0.5000  0.0000  4 V 2.47
Nb  0.0000  0.0000  0.0000  4 V 2.47
V  0.6369  0.1369  0.0000  1 V 2.47, 2 Nb 2.47
V  0.8631  0.6369  0.0000  1 V 2.47, 2 Nb 2.47
V  0.1369  0.3631  0.0000  1 V 2.47, 2 Nb 2.47
V  0.3631  0.8631  0.0000  1 V 2.47, 2 Nb 2.47


Record 10
Computed, not measured: a relaxed structure of NbBSe2N at the PBE level of DFT.

Values from the calculation:
uncorrected formation energy = 86.1 kJ per mole of atoms
VASP energy = -5.52 eV per atom

a = 5.1642 Å, b = 5.1642 Å, c = 3.9009 Å
α = 90.00°, β = 90.00°, γ = 90.00°
Last column: nearest neighbours and their distance in Å.
Positions (direct):
B  0.5000  0.5000  0.5000  8 Se 3.24
N  0.0000  0.0000  0.5000  2 Nb 1.95
Se  0.0000  0.5000  0.0000  2 Nb 2.58
Se  0.5000  0.0000  0.0000  2 Nb 2.58
Nb  0.0000  0.0000  0.0000  2 N 1.95


Record 11
Computed, not measured: a relaxed structure of Tl2AsBr4 at the PBE level of DFT.

Values from the calculation:
uncorrected formation energy = -53.2 kJ per mole of atoms
VASP energy = -2.85 eV per atom

a = 7.8036 Å, b = 7.8036 Å, c = 7.0040 Å
α = 123.85°, β = 123.85°, γ = 90.00°
Last column: nearest neighbours and their distance in Å.
Positions (direct):
Br  0.7411  0.7411  0.9997  1 As 2.66
Br  0.7415  0.2589  0.0003  1 As 2.66
Br  0.2585  0.2585  0.9997  1 As 2.66
Br  0.2589  0.7415  0.0003  1 As 2.66
Tl  0.2500  0.7500  0.5000  8 Br 3.50
Tl  0.7500  0.2500  0.5000  8 Br 3.50
As  0.5000  0.5000  0.0000  4 Br 2.66


Record 12
Computed, not measured: a relaxed structure of Nb3AuN at the PBE level of DFT.

Values from the calculation:
uncorrected formation energy = -42.9 kJ per mole of atoms
VASP energy = -8.81 eV per atom

a = 10.2846 Å, b = 5.4384 Å, c = 3.0183 Å
α = 92.71°, β = 78.89°, γ = 107.19°
Last column: nearest neighbours and their distance in Å.
Positions (direct):
Au  0.2750  0.8115  0.6355  1 N 2.72, 3 Nb 2.81-2.88, 3 Au 2.92-3.02
Au  0.0387  0.3467  0.7461  7 Nb 2.81-3.12, 3 Au 2.92-3.02
Nb  0.5305  0.7001  0.9385  3 N 2.12-2.22
Nb  0.7993  0.0236  0.2750  2 N 2.13-2.16
Nb  0.7855  0.5268  0.8553  1 N 2.27
Nb  0.5398  0.1997  0.4384  3 N 2.11-2.17
Nb  0.2698  0.2724  0.0933  2 N 2.09-2.13
Nb  0.0267  0.8246  0.3771  5 Nb 2.71-3.02, 3 Au 2.83-2.98
N  0.6665  0.1029  0.8605  6 Nb 2.11-2.27
N  0.4124  0.4492  0.5051  5 Nb 2.09-2.17


What did the tenth record say?
Computed, not measured: a relaxed structure of NbBSe2N at the PBE level of DFT.

Values from the calculation:
uncorrected formation energy = 86.1 kJ per mole of atoms
VASP energy = -5.52 eV per atom

a = 5.1642 Å, b = 5.1642 Å, c = 3.9009 Å
α = 90.00°, β = 90.00°, γ = 90.00°
Last column: nearest neighbours and their distance in Å.
Positions (direct):
B  0.5000  0.5000  0.5000  8 Se 3.24
N  0.0000  0.0000  0.5000  2 Nb 1.95
Se  0.0000  0.5000  0.0000  2 Nb 2.58
Se  0.5000  0.0000  0.0000  2 Nb 2.58
Nb  0.0000  0.0000  0.0000  2 N 1.95


Question: Which value of VASP energy does entry 11 give?
Answer: -2.85 eV per atom


What did the twelfth record say?
Computed, not measured: a relaxed structure of Nb3AuN at the PBE level of DFT.

Values from the calculation:
uncorrected formation energy = -42.9 kJ per mole of atoms
VASP energy = -8.81 eV per atom

a = 10.2846 Å, b = 5.4384 Å, c = 3.0183 Å
α = 92.71°, β = 78.89°, γ = 107.19°
Last column: nearest neighbours and their distance in Å.
Positions (direct):
Au  0.2750  0.8115  0.6355  1 N 2.72, 3 Nb 2.81-2.88, 3 Au 2.92-3.02
Au  0.0387  0.3467  0.7461  7 Nb 2.81-3.12, 3 Au 2.92-3.02
Nb  0.5305  0.7001  0.9385  3 N 2.12-2.22
Nb  0.7993  0.0236  0.2750  2 N 2.13-2.16
Nb  0.7855  0.5268  0.8553  1 N 2.27
Nb  0.5398  0.1997  0.4384  3 N 2.11-2.17
Nb  0.2698  0.2724  0.0933  2 N 2.09-2.13
Nb  0.0267  0.8246  0.3771  5 Nb 2.71-3.02, 3 Au 2.83-2.98
N  0.6665  0.1029  0.8605  6 Nb 2.11-2.27
N  0.4124  0.4492  0.5051  5 Nb 2.09-2.17